A relaxed Cs2NiBr crystal. Source: Alexandria via LeMat-Bulk, functional GGA-PBEsol.

POSCAR file:
```
Cs2NiBr
1.0
0.0000 4.2405 4.2405
4.2405 0.0000 4.2405
4.2405 4.2405 0.0000
Cs Ni Br
2 1 1
direct
0.2500 0.2500 0.2500
0.7500 0.7500 0.7500
0.0000 0.0000 0.0000
0.5000 0.5000 0.5000
```

## Properties
Total energy ... -2.65 eV per atom
Formation energy without anion corrections ... -0.69 eV/f.u.
Mass density ... 4.40 Mg/m³

A relaxed Cs2NpBr6 crystal. Source: Alexandria via LeMat-Bulk, functional GGA-PBEsol.

POSCAR file:
```
Cs2NpBr6
1.0
0.0000 5.4798 5.4798
5.4798 0.0000 5.4798
5.4798 5.4798 0.0000
Cs Np Br
2 1 6
direct
0.2500 0.2500 0.2500
0.7500 0.7500 0.7500
0.0000 0.0000 0.0000
0.2495 0.2495 0.7505
0.2495 0.7505 0.2495
0.2495 0.7505 0.7505
0.7505 0.2495 0.2495
0.7505 0.2495 0.7505
0.7505 0.7505 0.2495
```

## Properties
Total energy ... -4.49 eV per atom
Formation energy without anion corrections ... -13.42 eV/f.u.
Mass density ... 4.96 Mg/m³

A relaxed Cs6Br4O crystal. Source: Alexandria via LeMat-Bulk, functional GGA-PBEsol.

POSCAR file:
```
Cs6Br4O
1.0
6.7763 3.9123 5.7481
-6.7763 3.9123 5.7481
0.0000 -7.8246 5.7481
Cs Br O
12 8 2
direct
0.0586 0.9333 0.7200
0.0667 0.2800 0.9414
0.2200 0.4333 0.5586
0.2800 0.9414 0.0667
0.4333 0.5586 0.2200
0.4414 0.7800 0.5667
0.5586 0.2200 0.4333
0.5667 0.4414 0.7800
0.7200 0.0586 0.9333
0.7800 0.5667 0.4414
0.9333 0.7200 0.0586
0.9414 0.0667 0.2800
0.1294 0.7500 0.3706
0.2500 0.2500 0.2500
0.2500 0.6294 0.8706
0.3706 0.1294 0.7500
0.6294 0.8706 0.2500
0.7500 0.3706 0.1294
0.7500 0.7500 0.7500
0.8706 0.2500 0.6294
0.0000 0.0000 0.0000
0.5000 0.5000 0.5000
```

## Properties
Total energy ... -3.27 eV per atom
Formation energy without anion corrections ... -17.54 eV/f.u.
Mass density ... 4.12 Mg/m³

A relaxed CsPBr2 crystal. Source: Alexandria via LeMat-Bulk, functional GGA-PBEsol.

POSCAR file:
```
CsPBr2
1.0
2.2728 1.3122 8.8366
-2.2728 1.3122 8.8366
0.0000 -2.6244 8.8366
Cs P Br
1 1 2
direct
0.0000 0.0000 0.0000
0.5000 0.5000 0.5000
0.1253 0.1253 0.1253
0.8747 0.8747 0.8747
```

## Properties
Total energy ... -2.59 eV per atom
Formation energy without anion corrections ... 0.11 eV/f.u.
Mass density ... 3.40 Mg/m³